## one
A geometry-optimized VSiSe3 structure, computed with GGA-PBE.

a = 4.8440 Å, b = 4.8440 Å, c = 4.8440 Å
α = 90.00°, β = 90.00°, γ = 90.00°
With the nearest neighbours (Å) after each atom.
Element x y z (fractional)
Se1 0.0000 0.0000 0.5000  2 V 2.42
Se2 0.0000 0.5000 0.0000  2 V 2.42
V1 0.0000 0.0000 0.0000  6 Se 2.42
Si1 0.5000 0.5000 0.5000  12 Se 3.43
Se3 0.5000 0.0000 0.0000  2 V 2.42

Properties
Magnetic moment, μB/f.u.: 1.25



## two
A geometry-optimized VSiSe3 structure, computed with GGA-PBE.

a = 4.7938 Å, b = 4.7938 Å, c = 4.7938 Å
α = 90.00°, β = 90.00°, γ = 90.00°
With the nearest neighbours (Å) after each atom.
Element x y z (fractional)
Se1 0.5000 0.0000 0.0000  2 Si 2.40
Se2 0.0000 0.5000 0.0000  2 Si 2.40
V1 0.5000 0.5000 0.5000  12 Se 3.39
Si1 0.0000 0.0000 0.0000  6 Se 2.40
Se3 0.0000 0.0000 0.5000  2 Si 2.40

Properties
Magnetic moment, μB/f.u.: 2.29



Referenced to the most stable arrangement, the calculated values in eV/atom are one 0.000; two 0.159.



## one
A geometry-optimized SiW2Se structure, computed with GGA-PBE.

a = 4.7460 Å, b = 4.7460 Å, c = 4.7460 Å
α = 128.78°, β = 128.78°, γ = 75.37°
With the nearest neighbours (Å) after each atom.
Element x y z (fractional)
W1 0.0000 0.0000 0.0000  4 W 2.78, 4 Si 2.78, 4 Se 2.90
W2 0.2500 0.7500 0.5000  4 Se 2.78, 4 W 2.78, 4 Si 2.90
Se1 0.5000 0.5000 0.0000  4 Si 2.78, 8 W 2.78-2.90
Si1 0.7500 0.2500 0.5000  4 Se 2.78, 8 W 2.78-2.90

Properties
Magnetic moment, μB/f.u.: 0.00



## two
A geometry-optimized SiW2Se structure, computed with GGA-PBE.

a = 4.1230 Å, b = 3.3638 Å, c = 5.2120 Å
α = 80.75°, β = 90.00°, γ = 90.00°
With the nearest neighbours (Å) after each atom.
Element x y z (fractional)
W1 0.0000 0.9811 0.9364  2 W 2.43-2.68, 2 Si 2.46
W2 0.0000 0.5189 0.5636  2 W 2.43-2.68, 2 Si 2.46
Se1 0.5000 0.2500 0.2500  2 Si 2.87, 4 W 2.87
Si1 0.5000 0.7500 0.7500  4 W 2.46

Properties
Magnetic moment, μB/f.u.: 0.00



## three
A geometry-optimized SiW2Se structure, computed with GGA-PBE.

a = 5.5204 Å, b = 5.5204 Å, c = 5.5204 Å
α = 148.00°, β = 134.25°, γ = 56.92°
With the nearest neighbours (Å) after each atom.
Element x y z (fractional)
W1 0.0085 0.0085 0.0000  4 Se 2.63, 2 Si 2.65
Se1 0.5197 0.5197 0.0000  6 W 2.63
W2 0.7401 0.2401 0.5000  2 Se 2.63, 4 Si 2.63
Si1 0.2317 0.7317 0.5000  6 W 2.63-2.65

Properties
Magnetic moment, μB/f.u.: 0.00



Referenced to the most stable arrangement, the calculated values in eV/atom are one 0.132; two 0.160; three 0.000.



## one
A geometry-optimized SiW2Se structure, computed with GGA-PBE.

a = 4.6095 Å, b = 3.0338 Å, c = 4.4412 Å
α = 90.00°, β = 90.00°, γ = 90.00°
With the nearest neighbours (Å) after each atom.
Element x y z (fractional)
W1 0.0000 0.8751 0.0121  2 Si 2.60, 4 Se 2.66-2.72
Si1 0.5000 0.8749 0.7396  6 W 2.60-2.73
W2 0.5000 0.3749 0.2280  2 Se 2.65, 4 Si 2.65-2.73, 4 W 2.92
Se1 0.0000 0.3750 0.5204  6 W 2.65-2.72, 4 Si 2.93

Properties
Magnetic moment, μB/f.u.: 0.00



## two
A geometry-optimized SiW2Se structure, computed with GGA-PBE.

a = 2.8178 Å, b = 2.8178 Å, c = 9.2878 Å
α = 90.00°, β = 90.00°, γ = 110.57°
With the nearest neighbours (Å) after each atom.
Element x y z (fractional)
Si1 0.5000 0.5000 0.7847  2 W 2.60, 4 Si 2.82
Se1 0.0000 0.0000 0.4681  2 W 2.64, 4 Se 2.82
W1 0.5000 0.5000 0.2421  2 Se 2.64, 6 W 2.72-2.82
W2 0.0000 0.0000 0.0051  2 Si 2.60, 6 W 2.72-2.82

Properties
Magnetic moment, μB/f.u.: 0.00



Referenced to the most stable arrangement, the calculated values in eV/atom are one 0.000; two 0.160.



## one
A geometry-optimized SiW2Se structure, computed with GGA-PBE.

a = 4.3919 Å, b = 4.3919 Å, c = 4.3919 Å
α = 60.00°, β = 60.00°, γ = 60.00°
With the nearest neighbours (Å) after each atom.
Element x y z (fractional)
W1 0.7500 0.7500 0.7500  4 Se 2.69, 4 Si 2.69
Si1 0.0000 0.0000 0.0000  8 W 2.69
Se1 0.5000 0.5000 0.5000  8 W 2.69
W2 0.2500 0.2500 0.2500  4 Se 2.69, 4 Si 2.69

Properties
Magnetic moment, μB/f.u.: 0.00



## two
A geometry-optimized SiW2Se structure, computed with GGA-PBE.

a = 4.6782 Å, b = 4.6782 Å, c = 4.5825 Å
α = 74.42°, β = 74.42°, γ = 39.69°
With the nearest neighbours (Å) after each atom.
Element x y z (fractional)
W1 0.0074 0.0074 0.9317  3 Si 2.55, 2 Se 2.65
W2 0.2470 0.2470 0.2914  3 Se 2.60-2.61, 4 Si 2.74-2.83, 2 W 2.89
Si1 0.7432 0.7432 0.8059  7 W 2.55-2.83, 2 Se 2.84
Se1 0.5023 0.5023 0.4709  5 W 2.60-2.65, 2 Si 2.84

Properties
Magnetic moment, μB/f.u.: 0.00



## three
A geometry-optimized SiW2Se structure, computed with GGA-PBE.

a = 4.4931 Å, b = 4.4931 Å, c = 5.1544 Å
α = 77.69°, β = 77.69°, γ = 38.16°
With the nearest neighbours (Å) after each atom.
Element x y z (fractional)
W1 0.4855 0.4855 0.5080  3 Si 2.57-2.80, 3 Se 2.64-2.76
W2 0.0145 0.0145 0.9920  3 Si 2.57-2.80, 3 Se 2.64-2.76
Se1 0.2500 0.2500 0.2500  6 W 2.64-2.76, 2 Se 2.94
Si1 0.7500 0.7500 0.7500  6 W 2.57-2.80

Properties
Magnetic moment, μB/f.u.: 0.00



## four
A geometry-optimized SiW2Se structure, computed with GGA-PBE.

a = 3.9340 Å, b = 3.9340 Å, c = 9.2400 Å
α = 77.71°, β = 77.71°, γ = 90.00°
With the nearest neighbours (Å) after each atom.
Element x y z (fractional)
Si1 0.2500 0.7500 0.5000  4 W 2.60, 4 Se 2.78
Se1 0.7500 0.2500 0.5000  4 W 2.61, 4 Si 2.78
W1 0.3750 0.3767 0.7500  2 Si 2.60, 2 Se 2.61, 4 W 2.77-2.79
W2 0.1267 0.6250 0.2500  2 Si 2.60, 2 Se 2.61, 4 W 2.77-2.79
W3 0.8750 0.8733 0.7500  2 Si 2.60, 2 Se 2.61, 4 W 2.77-2.79
Se2 0.0000 0.0000 0.0000  4 W 2.61, 4 Si 2.78
W4 0.6233 0.1250 0.2500  2 Si 2.60, 2 Se 2.61, 4 W 2.77-2.79
Si2 0.5000 0.5000 0.0000  4 W 2.60, 4 Se 2.78

Properties
Magnetic moment, μB/f.u.: 0.00



Referenced to the most stable arrangement, the calculated values in eV/atom are one 0.172; two 0.000; three 0.243; four 0.512.



## one
A geometry-optimized SiW2Se structure, computed with GGA-PBE.

a = 3.1290 Å, b = 3.1290 Å, c = 6.2849 Å
α = 90.00°, β = 90.00°, γ = 90.00°
With the nearest neighbours (Å) after each atom.
Element x y z (fractional)
W1 0.0000 0.0000 0.9675  4 Si 2.60, 1 W 2.73, 4 Se 2.84
W2 0.0000 0.0000 0.5325  4 Si 2.60, 1 W 2.73, 4 Se 2.84
Se1 0.5000 0.5000 0.2500  8 W 2.84, 4 Se 3.13, 2 Si 3.14
Si1 0.5000 0.5000 0.7500  8 W 2.60

Properties
Magnetic moment, μB/f.u.: 0.00



## two
A geometry-optimized SiW2Se structure, computed with GGA-PBE.

a = 2.8743 Å, b = 2.8743 Å, c = 8.2666 Å
α = 90.00°, β = 90.00°, γ = 111.13°
With the nearest neighbours (Å) after each atom.
Element x y z (fractional)
W1 0.0000 0.0000 0.5177  2 Si 2.52, 2 Se 2.75
W2 0.0000 0.0000 0.9823  2 Si 2.52, 2 Se 2.75
Si1 0.5000 0.5000 0.7500  4 W 2.52
Se1 0.5000 0.5000 0.2500  4 W 2.75, 4 Se 2.87

Properties
Magnetic moment, μB/f.u.: 0.00



## three
A geometry-optimized SiW2Se structure, computed with GGA-PBE.

a = 2.9467 Å, b = 5.2102 Å, c = 5.3876 Å
α = 48.86°, β = 90.00°, γ = 90.00°
With the nearest neighbours (Å) after each atom.
Element x y z (fractional)
Si1 0.0000 0.0000 0.5000  6 W 2.64-2.69, 2 Si 2.95
Se1 0.5000 0.5000 0.5000  6 W 2.64-2.69, 2 Se 2.95
W1 0.0000 0.0000 0.0000  4 Se 2.64, 2 Si 2.69, 2 W 2.95
W2 0.5000 0.5000 0.0000  4 Si 2.64, 2 Se 2.69, 2 W 2.95

Properties
Magnetic moment, μB/f.u.: 0.00



Referenced to the most stable arrangement, the calculated values in eV/atom are one 0.000; two 0.351; three 0.155.